Record 1
## Ti2Zn2Re (PBE)

Data for a relaxed Ti2Zn2Re crystal.

Its crystal system is orthorhombic. The value obtained for the electronic total energy is -31.605 eV/f.u. Its formation enthalpy at 0 K is -0.16 eV/atom. For the offset from the most stable computed form, the calculation gives 0.0000 eV/atom.

The space group is Cmmm (No. 65) and the conventional cell measures 3.4041, 14.5063 and 3.1780 Å, with angles of 90.00, 90.00 and 90.00 degrees. The distinct sites, in fractional coordinates, are Ti at (0.0000, 0.0982, 0.0000), Zn at (0.0000, 0.3079, 0.5000) and Re at (0.0000, 0.5000, 0.5000).



Record 2
## Tm6C3Se2 (PBE)

Data for a relaxed Tm6C3Se2 crystal.

The formation energy without anion corrections is -0.9673 eV/atom. Its crystal system is monoclinic. The value obtained for the electronic total energy is -72.110 eV/f.u.

The space group is C2/m (No. 12) and the conventional cell measures 6.3105, 10.9287 and 6.8453 Å, with angles of 90.00, 107.99 and 90.00 degrees. The distinct sites, in fractional coordinates, are Tm at (0.2314, 0.1683, 0.1989), Tm at (0.2351, 0.5000, 0.1950), C at (0.0000, 0.0000, 0.0000), C at (0.0000, 0.3312, 0.0000) and Se at (0.0000, 0.1659, 0.5000).



Record 3
## Nd4Er5Zn (PBE)

Data for a relaxed Nd4Er5Zn crystal.

Its crystal system is tetragonal. The value obtained for the electronic total energy is -43.697 eV/f.u. Its formation enthalpy at 0 K is -0.05 eV/atom.

The space group is P4/mmm (No. 123) and the conventional cell measures 3.5822, 3.5822 and 23.9370 Å, with angles of 90.00, 90.00 and 90.00 degrees. The distinct sites, in fractional coordinates, are Nd at (0.0000, 0.0000, 0.1058), Nd at (0.0000, 0.0000, 0.3189), Er at (0.5000, 0.5000, 0.0000), Er at (0.5000, 0.5000, 0.2127), Er at (0.5000, 0.5000, 0.4276) and Zn at (0.0000, 0.0000, 0.5000).



Record 4
## KNbTcN3 (PBE)

Data for a relaxed KNbTcN3 crystal.

The formation energy without anion corrections is -0.3431 eV/atom. Its crystal system is monoclinic. The value obtained for the electronic total energy is -48.568 eV/f.u.

The space group is P2_1/m (No. 11) and the conventional cell measures 6.6244, 3.1142 and 9.8592 Å, with angles of 90.00, 108.31 and 90.00 degrees. The distinct sites, in fractional coordinates, are K at (0.0074, 0.2500, 0.2089), Nb at (0.4220, 0.7500, 0.6058), Tc at (0.4960, 0.7500, 0.1016), N at (0.3034, 0.2500, 0.0180), N at (0.3073, 0.2500, 0.6946) and N at (0.3363, 0.7500, 0.3983).



Record 5
## Ac3Hg4Rh2 (PBE)

Data for a relaxed Ac3Hg4Rh2 crystal.

Its crystal system is monoclinic. The value obtained for the electronic total energy is -32.962 eV/f.u. Its formation enthalpy at 0 K is -0.53 eV/atom.

The space group is C2/m (No. 12) and the conventional cell measures 12.7372, 4.2952 and 10.1981 Å, with angles of 90.00, 117.43 and 90.00 degrees. The distinct sites, in fractional coordinates, are Ac at (0.0000, 0.0000, 0.0000), Ac at (0.1897, 0.5000, 0.6224), Hg at (0.0106, 0.0000, 0.3417), Hg at (0.2420, 0.5000, 0.0900) and Rh at (0.1221, 0.5000, 0.2644).



Record 6
## ZrZn2AuC (PBE)

Data for a relaxed ZrZn2AuC crystal.

Its crystal system is tetragonal. The value obtained for the electronic total energy is -17.429 eV/f.u. Its formation enthalpy at 0 K is 1.23 eV/atom.

The space group is P4/mmm (No. 123) and the conventional cell measures 5.4434, 5.4434 and 3.9653 Å, with angles of 90.00, 90.00 and 90.00 degrees. The distinct sites, in fractional coordinates, are Zr at (0.0000, 0.0000, 0.0000), Zn at (0.0000, 0.5000, 0.0000), Au at (0.5000, 0.5000, 0.5000) and C at (0.0000, 0.0000, 0.5000).